Record 1
Computed, not measured: CsHgSe2O8 after structural relaxation at the GGA-PBE level of DFT.

a b c (Å): 5.284 5.284 9.900
angles (deg): 74.52 74.52 60.00
Site moments in Bohr magnetons follow the coordinates.
Atoms (fractional coordinates):
Se 0.736 0.736 0.792  -0.02
Se 0.264 0.264 0.208  -0.02
O 0.022 0.415 0.850  0.12
O 0.585 0.287 0.150  0.12
O 0.287 0.978 0.150  0.12
O 0.415 0.713 0.850  0.12
O 0.713 0.022 0.850  0.12
O 0.795 0.795 0.616  0.07
O 0.978 0.585 0.150  0.12
O 0.205 0.205 0.384  0.07
Cs 0.500 0.500 0.500  0.00
Hg 0.000 0.000 0.000  0.12

Space group   R-3
ΔE_f (raw)   -691.7 meV per atom
Crystal system   trigonal


Record 2
Computed, not measured: Tb2Si3Rh2 after structural relaxation at the GGA-PBE level of DFT.

a b c (Å): 4.088 6.922 9.035
angles (deg): 90.00 103.08 90.00
Atoms (fractional coordinates):
Rh 0.309 0.452 0.617
Rh 0.691 0.548 0.383
Rh 0.691 0.952 0.383
Rh 0.309 0.048 0.617
Tb 0.843 0.750 0.686
Tb 0.056 0.750 0.112
Tb 0.944 0.250 0.888
Tb 0.157 0.250 0.314
Si 0.561 0.428 0.122
Si 0.439 0.928 0.878
Si 0.223 0.750 0.447
Si 0.777 0.250 0.553
Si 0.439 0.572 0.878
Si 0.561 0.072 0.122

Space group   Cmcm
ΔE_f (raw)   -962.2 meV per atom
Crystal system   orthorhombic


Record 3
Computed, not measured: TePbAu2 after structural relaxation at the GGA-PBE level of DFT.

a b c (Å): 6.616 6.616 6.616
angles (deg): 143.67 143.67 52.32
Atoms (fractional coordinates):
Au 0.250 0.750 0.500
Au 0.000 0.000 0.000
Pb 0.500 0.500 0.000
Te 0.750 0.250 0.500

Space group   I-4m2
ΔE_f (raw)   60.8 meV per atom
Crystal system   tetragonal


Record 4
Computed, not measured: BaAlW2 after structural relaxation at the GGA-PBE level of DFT.

a b c (Å): 2.861 2.861 10.025
angles (deg): 90.00 90.00 90.00
Atoms (fractional coordinates):
W 0.000 0.000 0.055
W 0.000 0.000 0.445
Al 0.500 0.500 0.250
Ba 0.500 0.500 0.750

Space group   P4/mmm
Crystal system   tetragonal
DFT total energy   -27.92 eV for the cell shown


Record 5
Computed, not measured: EuHfMg2 after structural relaxation at the GGA-PBE level of DFT.

a b c (Å): 3.315 3.315 9.379
angles (deg): 90.00 90.00 90.00
Site moments in Bohr magnetons follow the coordinates.
Atoms (fractional coordinates):
Hf 0.500 0.500 0.000  0.03
Eu 0.500 0.500 0.500  -6.95
Mg 0.000 0.000 0.218  0.00
Mg 0.000 0.000 0.782  0.00

Space group   P4/mmm
Crystal system   tetragonal
DFT total energy   -22.95 eV for the cell shown


Record 6
Computed, not measured: TlCu2Br after structural relaxation at the GGA-PBE level of DFT.

a b c (Å): 3.743 3.933 6.088
angles (deg): 89.88 90.00 90.00
Atoms (fractional coordinates):
Cu 0.000 0.750 0.056
Cu 0.000 0.750 0.444
Br 0.500 0.750 0.750
Tl 0.500 0.250 0.250

Space group   P2/m
ΔE_f (raw)   104.3 meV per atom
Crystal system   monoclinic


Repeat the second record exactly.
Computed, not measured: Tb2Si3Rh2 after structural relaxation at the GGA-PBE level of DFT.

a b c (Å): 4.088 6.922 9.035
angles (deg): 90.00 103.08 90.00
Atoms (fractional coordinates):
Rh 0.309 0.452 0.617
Rh 0.691 0.548 0.383
Rh 0.691 0.952 0.383
Rh 0.309 0.048 0.617
Tb 0.843 0.750 0.686
Tb 0.056 0.750 0.112
Tb 0.944 0.250 0.888
Tb 0.157 0.250 0.314
Si 0.561 0.428 0.122
Si 0.439 0.928 0.878
Si 0.223 0.750 0.447
Si 0.777 0.250 0.553
Si 0.439 0.572 0.878
Si 0.561 0.072 0.122

Space group   Cmcm
ΔE_f (raw)   -962.2 meV per atom
Crystal system   orthorhombic